(1)
Computed, not measured: a relaxed structure of NaTmTlCl5 at the GGA-PBE level of DFT.

```
data_NaTmTlCl5
_chemical_formula_sum 'Na2 Tm2 Tl2 Cl10'
_space_group_name_H-M_alt 'P 1'
_space_group_IT_number 1
_cell_length_a 7.759
_cell_length_b 7.759
_cell_length_c 9.970
_cell_angle_alpha 100.85
_cell_angle_beta 100.85
_cell_angle_gamma 112.99
loop_
_space_group_symop_operation_xyz
'x,y,z'
loop_
_atom_site_label
_atom_site_type_symbol
_atom_site_fract_x
_atom_site_fract_y
_atom_site_fract_z
_atom_site_occupancy
Na1 Na 0.187 0.813 0.750 1
Na2 Na 0.813 0.187 0.250 1
Tm1 Tm 0.500 0.500 0.000 1
Tm2 Tm 0.500 0.500 0.500 1
Tl1 Tl 0.143 0.857 0.250 1
Tl2 Tl 0.857 0.143 0.750 1
Cl1 Cl 0.137 0.245 0.443 1
Cl2 Cl 0.210 0.576 0.906 1
Cl3 Cl 0.245 0.137 0.943 1
Cl4 Cl 0.424 0.790 0.594 1
Cl5 Cl 0.430 0.570 0.250 1
Cl6 Cl 0.570 0.430 0.750 1
Cl7 Cl 0.576 0.210 0.406 1
Cl8 Cl 0.755 0.863 0.057 1
Cl9 Cl 0.790 0.424 0.094 1
Cl10 Cl 0.863 0.755 0.557 1
```

## Properties
Raw formation energy in eV per atom: -1.846
SG: C2/c (15)
M_tot in μB per atom: 0.00



(2)
Computed, not measured: a relaxed structure of Tl8Se4I at the GGA-PBE level of DFT.

```
data_Tl8Se4I
_chemical_formula_sum 'Tl8 Se4 I1'
_space_group_name_H-M_alt 'P 1'
_space_group_IT_number 1
_cell_length_a 8.889
_cell_length_b 8.889
_cell_length_c 10.536
_cell_angle_alpha 119.34
_cell_angle_beta 119.34
_cell_angle_gamma 60.43
loop_
_space_group_symop_operation_xyz
'x,y,z'
loop_
_atom_site_label
_atom_site_type_symbol
_atom_site_fract_x
_atom_site_fract_y
_atom_site_fract_z
_atom_site_occupancy
Tl1 Tl 0.149 0.667 0.690 1
Tl2 Tl 0.156 0.156 0.704 1
Tl3 Tl 0.333 0.851 0.310 1
Tl4 Tl 0.334 0.334 0.304 1
Tl5 Tl 0.666 0.666 0.696 1
Tl6 Tl 0.667 0.149 0.690 1
Tl7 Tl 0.844 0.844 0.296 1
Tl8 Tl 0.851 0.333 0.310 1
Se1 Se 0.250 0.250 0.511 1
Se2 Se 0.250 0.750 0.500 1
Se3 Se 0.750 0.250 0.500 1
Se4 Se 0.750 0.750 0.489 1
I1 I 0.000 0.000 0.000 1
```

## Properties
Raw formation energy in eV per atom: -0.356
ΔE to the lowest computed polymorph in meV/atom: 0
SG: C2/m (12)
M_tot in μB per atom: 0.00



(3)
Computed, not measured: a relaxed structure of MnTeCN2 at the GGA-PBE level of DFT.

```
data_MnTeCN2
_chemical_formula_sum 'Mn1 Te1 C1 N2'
_space_group_name_H-M_alt 'P 1'
_space_group_IT_number 1
_cell_length_a 3.768
_cell_length_b 3.768
_cell_length_c 4.444
_cell_angle_alpha 90.00
_cell_angle_beta 90.00
_cell_angle_gamma 90.00
loop_
_space_group_symop_operation_xyz
'x,y,z'
loop_
_atom_site_label
_atom_site_type_symbol
_atom_site_fract_x
_atom_site_fract_y
_atom_site_fract_z
_atom_site_occupancy
Mn1 Mn 0.000 0.000 0.000 1
Te1 Te 0.500 0.500 0.000 1
C1 C 0.500 0.500 0.500 1
N1 N 0.000 0.500 0.500 1
N2 N 0.500 0.000 0.500 1
```

## Properties
Raw formation energy in eV per atom: 2.250
ΔE to the lowest computed polymorph in meV/atom: 861
SG: P4/mmm (123)
M_tot in μB per atom: 0.47